VASP calculation (GGA-PBE) on a relaxed RbMo3S3 crystal.

Cell: 5.847 6.809 9.092 Å, 96.52 107.61 106.19°
Fractional positions:
Rb 0.180 0.303 0.000
Rb 0.820 0.697 0.000
Mo 0.167 0.181 0.572
Mo 0.171 0.488 0.430
Mo 0.497 0.848 0.572
Mo 0.503 0.152 0.428
Mo 0.829 0.512 0.570
Mo 0.833 0.819 0.428
S 0.061 0.109 0.294
S 0.269 0.558 0.709
S 0.392 0.772 0.291
S 0.608 0.228 0.709
S 0.731 0.442 0.291
S 0.939 0.891 0.706

Properties
The uncorrected formation energy comes out at -0.452 eV per atom. For the density, the calculation gives 4.82 Mg/m³. As for the density of states at the Fermi level: 5.25 states/eV/cell.

***

VASP calculation (GGA-PBE) on a relaxed RbMo3S crystal.

Cell: 4.728 4.728 4.728 Å, 90.00 90.00 90.00°
Fractional positions:
Rb 0.000 0.000 0.000
Mo 0.000 0.000 0.500
Mo 0.000 0.500 0.000
Mo 0.500 0.000 0.000
S 0.500 0.500 0.500

Properties
The uncorrected formation energy comes out at 3.517 eV per atom. For the density, the calculation gives 6.37 Mg/m³. As for the density of states at the Fermi level: 8.41 states/eV/cell.

***

VASP calculation (GGA-PBE) on a relaxed RbMo3S crystal.

Cell: 4.645 4.645 4.645 Å, 90.00 90.00 90.00°
Fractional positions:
Rb 0.000 0.000 0.000
Mo 0.000 0.500 0.500
Mo 0.500 0.000 0.500
Mo 0.500 0.500 0.000
S 0.500 0.500 0.500

Properties
The uncorrected formation energy comes out at 1.261 eV per atom. For the density, the calculation gives 6.72 Mg/m³. As for the density of states at the Fermi level: 5.62 states/eV/cell.

***

VASP calculation (GGA-PBE) on a relaxed Rb3Mo5S12 crystal.

Cell: 13.742 13.742 13.742 Å, 109.47 109.47 109.47°
Fractional positions:
Rb 0.125 0.250 0.375
Rb 0.125 0.375 0.750
Rb 0.250 0.375 0.125
Rb 0.250 0.875 0.625
Rb 0.375 0.125 0.250
Rb 0.375 0.750 0.125
Rb 0.625 0.250 0.875
Rb 0.625 0.875 0.750
Rb 0.750 0.125 0.375
Rb 0.750 0.625 0.875
Rb 0.875 0.625 0.250
Rb 0.875 0.750 0.625
Mo 0.000 0.000 0.000
Mo 0.000 0.000 0.500
Mo 0.000 0.500 0.000
Mo 0.000 0.500 0.500
Mo 0.125 0.750 0.875
Mo 0.125 0.875 0.250
Mo 0.250 0.125 0.875
Mo 0.250 0.625 0.375
Mo 0.375 0.250 0.625
Mo 0.375 0.625 0.750
Mo 0.500 0.000 0.000
Mo 0.500 0.000 0.500
Mo 0.500 0.500 0.000
Mo 0.500 0.500 0.500
Mo 0.625 0.375 0.250
Mo 0.625 0.750 0.375
Mo 0.750 0.375 0.625
Mo 0.750 0.875 0.125
Mo 0.875 0.125 0.750
Mo 0.875 0.250 0.125
S 0.003 0.685 0.103
S 0.003 0.818 0.900
S 0.082 0.682 0.685
S 0.082 0.900 0.397
S 0.100 0.603 0.918
S 0.100 0.997 0.182
S 0.103 0.003 0.685
S 0.103 0.600 0.418
S 0.182 0.100 0.997
S 0.182 0.582 0.185
S 0.185 0.182 0.582
S 0.185 0.503 0.603
S 0.315 0.897 0.997
S 0.315 0.918 0.318
S 0.318 0.315 0.918
S 0.318 0.503 0.400
S 0.397 0.082 0.900
S 0.397 0.815 0.497
S 0.400 0.318 0.503
S 0.400 0.582 0.897
S 0.418 0.103 0.600
S 0.418 0.815 0.818
S 0.497 0.397 0.815
S 0.497 0.600 0.682
S 0.503 0.400 0.318
S 0.503 0.603 0.185
S 0.582 0.185 0.182
S 0.582 0.897 0.400
S 0.600 0.418 0.103
S 0.600 0.682 0.497
S 0.603 0.185 0.503
S 0.603 0.918 0.100
S 0.682 0.497 0.600
S 0.682 0.685 0.082
S 0.685 0.082 0.682
S 0.685 0.103 0.003
S 0.815 0.497 0.397
S 0.815 0.818 0.418
S 0.818 0.418 0.815
S 0.818 0.900 0.003
S 0.897 0.400 0.582
S 0.897 0.997 0.315
S 0.900 0.003 0.818
S 0.900 0.397 0.082
S 0.918 0.100 0.603
S 0.918 0.318 0.315
S 0.997 0.182 0.100
S 0.997 0.315 0.897

Properties
The uncorrected formation energy comes out at -0.580 eV per atom. For the density, the calculation gives 3.73 Mg/m³. As for the density of states at the Fermi level: 46.86 states/eV/cell.

***

VASP calculation (GGA-PBE) on a relaxed RbMoS2 crystal.

Cell: 7.020 7.020 7.020 Å, 120.88 120.88 88.47°
Fractional positions:
Rb 0.000 0.000 0.000
Rb 0.750 0.250 0.500
Mo 0.250 0.750 0.500
Mo 0.500 0.500 0.000
S 0.259 0.625 0.134
S 0.375 0.509 0.634
S 0.491 0.125 0.866
S 0.875 0.741 0.366

Properties
The uncorrected formation energy comes out at -0.606 eV per atom. For the density, the calculation gives 3.38 Mg/m³. As for the density of states at the Fermi level: 8.12 states/eV/cell.

***

VASP calculation (GGA-PBE) on a relaxed RbMoS3 crystal.

Cell: 7.472 6.506 14.145 Å, 90.00 108.15 90.00°
Fractional positions:
Rb 0.220 0.226 0.178
Rb 0.220 0.274 0.678
Rb 0.780 0.726 0.322
Rb 0.780 0.774 0.822
Mo 0.349 0.639 0.958
Mo 0.349 0.861 0.458
Mo 0.651 0.139 0.542
Mo 0.651 0.361 0.042
S 0.161 0.736 0.040
S 0.161 0.764 0.540
S 0.280 0.741 0.306
S 0.280 0.759 0.806
S 0.344 0.216 0.452
S 0.344 0.284 0.952
S 0.656 0.716 0.048
S 0.656 0.784 0.548
S 0.720 0.241 0.194
S 0.720 0.259 0.694
S 0.839 0.236 0.460
S 0.839 0.264 0.960

Properties
The uncorrected formation energy comes out at -0.834 eV per atom. For the density, the calculation gives 2.82 Mg/m³.

***

VASP calculation (GGA-PBE) on a relaxed RbSbMoS2 crystal.

Cell: 4.834 4.834 5.401 Å, 90.00 90.00 90.00°
Fractional positions:
Rb 0.000 0.000 0.000
Sb 0.500 0.500 0.000
Mo 0.500 0.500 0.500
S 0.000 0.500 0.500
S 0.500 0.000 0.500

Properties
The uncorrected formation energy comes out at -0.197 eV per atom. For the density, the calculation gives 4.83 Mg/m³. As for the density of states at the Fermi level: 2.95 states/eV/cell.

***

VASP calculation (GGA-PBE) on a relaxed RbScMo2S crystal.

Cell: 4.682 4.682 5.081 Å, 90.00 90.00 90.00°
Fractional positions:
Rb 0.000 0.000 0.000
Sc 0.000 0.000 0.500
Mo 0.000 0.500 0.000
Mo 0.500 0.000 0.000
S 0.500 0.500 0.500

Properties
The uncorrected formation energy comes out at 2.723 eV per atom. For the density, the calculation gives 5.28 Mg/m³. As for the density of states at the Fermi level: 4.12 states/eV/cell.

***

VASP calculation (GGA-PBE) on a relaxed RbSiMoS2 crystal.

Cell: 5.615 5.615 5.476 Å, 90.00 90.00 90.00°
Fractional positions:
Rb 0.000 0.000 0.000
Si 0.500 0.500 0.500
Mo 0.000 0.000 0.500
S 0.000 0.500 0.000
S 0.500 0.000 0.000

Properties
The uncorrected formation energy comes out at 2.228 eV per atom. For the density, the calculation gives 2.63 Mg/m³. As for the density of states at the Fermi level: 4.76 states/eV/cell.

***

VASP calculation (GGA-PBE) on a relaxed Rb3Tb3MoS8 crystal.

Cell: 9.078 9.078 9.078 Å, 51.63 51.63 51.63°
Fractional positions:
Rb 0.000 0.500 0.500
Rb 0.500 0.000 0.500
Rb 0.500 0.500 0.000
Tb 0.000 0.000 0.500
Tb 0.000 0.500 0.000
Tb 0.500 0.000 0.000
Mo 0.500 0.500 0.500
S 0.231 0.231 0.231
S 0.254 0.713 0.713
S 0.287 0.287 0.746
S 0.287 0.746 0.287
S 0.713 0.254 0.713
S 0.713 0.713 0.254
S 0.746 0.287 0.287
S 0.769 0.769 0.769

Properties
The uncorrected formation energy comes out at -1.528 eV per atom. For the density, the calculation gives 4.24 Mg/m³. As for the density of states at the Fermi level: 6.20 states/eV/cell.

***

VASP calculation (GGA-PBE) on a relaxed Rb2TlMoS4 crystal.

Cell: 13.752 12.568 7.598 Å, 82.00 64.83 33.17°
Fractional positions:
Rb 0.061 0.061 0.689
Rb 0.311 0.311 0.939
Rb 0.689 0.689 0.061
Rb 0.939 0.939 0.311
Tl 0.125 0.125 0.125
Tl 0.875 0.875 0.875
Mo 0.375 0.375 0.375
Mo 0.625 0.625 0.625
S 0.039 0.607 0.519
S 0.335 0.519 0.607
S 0.393 0.961 0.665
S 0.481 0.665 0.961
S 0.519 0.335 0.039
S 0.607 0.039 0.335
S 0.665 0.481 0.393
S 0.961 0.393 0.481

Properties
The uncorrected formation energy comes out at -0.698 eV per atom. For the density, the calculation gives 3.41 Mg/m³. As for the density of states at the Fermi level: 7.65 states/eV/cell.

***

VASP calculation (GGA-PBE) on a relaxed RbTl2MoS4 crystal.

Cell: 6.996 6.603 7.742 Å, 57.72 52.95 69.33°
Fractional positions:
Rb 0.000 0.000 0.000
Tl 0.449 0.449 0.051
Tl 0.949 0.949 0.551
Mo 0.502 0.502 0.498
S 0.168 0.524 0.832
S 0.473 0.815 0.185
S 0.524 0.168 0.476
S 0.815 0.473 0.527

Properties
The uncorrected formation energy comes out at -0.617 eV per atom. For the density, the calculation gives 4.95 Mg/m³. As for the density of states at the Fermi level: 3.81 states/eV/cell.

***

VASP calculation (GGA-PBE) on a relaxed RbTlMoS2 crystal.

Cell: 4.765 4.765 6.208 Å, 90.00 90.00 90.00°
Fractional positions:
Rb 0.000 0.000 0.000
Tl 0.500 0.500 0.000
Mo 0.000 0.000 0.500
S 0.000 0.500 0.500
S 0.500 0.000 0.500

Properties
The uncorrected formation energy comes out at 0.155 eV per atom. For the density, the calculation gives 5.30 Mg/m³. As for the density of states at the Fermi level: 3.12 states/eV/cell.

***

VASP calculation (GGA-PBE) on a relaxed Rb2MoWS crystal.

Cell: 6.695 6.695 4.554 Å, 90.00 90.00 90.00°
Fractional positions:
Rb 0.000 0.500 0.000
Rb 0.500 0.000 0.000
Mo 0.000 0.000 0.500
W 0.500 0.500 0.500
S 0.500 0.500 0.000

Properties
The uncorrected formation energy comes out at 1.375 eV per atom. For the density, the calculation gives 3.93 Mg/m³. As for the density of states at the Fermi level: 3.48 states/eV/cell.

***

VASP calculation (GGA-PBE) on a relaxed RbYMo2S crystal.

Cell: 4.765 4.765 5.707 Å, 90.00 90.00 90.00°
Fractional positions:
Rb 0.000 0.000 0.000
Y 0.500 0.500 0.500
Mo 0.000 0.500 0.000
Mo 0.500 0.000 0.000
S 0.000 0.000 0.500

Properties
The uncorrected formation energy comes out at 2.197 eV per atom. For the density, the calculation gives 5.10 Mg/m³. As for the density of states at the Fermi level: 4.49 states/eV/cell.

***

VASP calculation (GGA-PBE) on a relaxed RbSbMo2 crystal.

Cell: 10.499 10.499 10.499 Å, 153.28 153.28 38.15°
Fractional positions:
Rb 0.000 0.000 0.000
Rb 0.750 0.250 0.500
Sb 0.250 0.750 0.500
Sb 0.500 0.500 0.000
Mo 0.324 0.625 0.199
Mo 0.375 0.574 0.699
Mo 0.426 0.125 0.801
Mo 0.875 0.676 0.301

Properties
The uncorrected formation energy comes out at 1.163 eV per atom. For the density, the calculation gives 5.67 Mg/m³. As for the density of states at the Fermi level: 8.67 states/eV/cell.

***

VASP calculation (GGA-PBE) on a relaxed Rb3SbMo crystal.

Cell: 7.047 7.047 7.047 Å, 90.00 90.00 90.00°
Fractional positions:
Rb 0.000 0.000 0.500
Rb 0.000 0.500 0.000
Rb 0.500 0.000 0.000
Sb 0.000 0.000 0.000
Mo 0.500 0.500 0.500

Properties
The uncorrected formation energy comes out at 0.952 eV per atom. For the density, the calculation gives 2.25 Mg/m³. As for the density of states at the Fermi level: 7.57 states/eV/cell.

***

VASP calculation (GGA-PBE) on a relaxed Rb2SbMo crystal.

Cell: 10.269 10.269 10.269 Å, 93.81 93.81 150.14°
Fractional positions:
Rb 0.375 0.137 0.262
Rb 0.863 0.125 0.238
Rb 0.875 0.113 0.738
Rb 0.887 0.625 0.762
Sb 0.250 0.750 0.500
Sb 0.500 0.500 0.000
Mo 0.000 0.000 0.000
Mo 0.750 0.250 0.500

Properties
The uncorrected formation energy comes out at 0.650 eV per atom. For the density, the calculation gives 2.48 Mg/m³. As for the density of states at the Fermi level: 5.11 states/eV/cell.

***

VASP calculation (GGA-PBE) on a relaxed RbScSbMo2 crystal.

Cell: 5.141 5.141 5.532 Å, 90.00 90.00 90.00°
Fractional positions:
Rb 0.000 0.000 0.000
Sc 0.500 0.500 0.500
Sb 0.500 0.500 0.000
Mo 0.000 0.500 0.500
Mo 0.500 0.000 0.500

Properties
The uncorrected formation energy comes out at 1.450 eV per atom. For the density, the calculation gives 5.04 Mg/m³. As for the density of states at the Fermi level: 3.96 states/eV/cell.

***

VASP calculation (GGA-PBE) on a relaxed RbTaSb2Mo crystal.

Cell: 5.644 5.644 4.910 Å, 90.00 90.00 90.00°
Fractional positions:
Rb 0.000 0.000 0.000
Ta 0.500 0.500 0.500
Sb 0.000 0.500 0.000
Sb 0.500 0.000 0.000
Mo 0.000 0.000 0.500

Properties
The uncorrected formation energy comes out at 2.875 eV per atom. For the density, the calculation gives 6.43 Mg/m³. As for the density of states at the Fermi level: 7.25 states/eV/cell.

***

VASP calculation (GGA-PBE) on a relaxed RbSc3Mo crystal.

Cell: 5.300 5.300 5.300 Å, 90.00 90.00 90.00°
Fractional positions:
Rb 0.000 0.000 0.000
Sc 0.000 0.500 0.500
Sc 0.500 0.000 0.500
Sc 0.500 0.500 0.000
Mo 0.500 0.500 0.500

Properties
For the density, the calculation gives 3.53 Mg/m³. Its formation energy is 0.594 eV per atom. As for the density of states at the Fermi level: 8.45 states/eV/cell.